Here is a geometry-optimized LaHfMgGe2 structure from Alexandria via LeMat-Bulk. Energies are from GGA-PBE. Values from VASP.

Calculated values
Calculated total energy: -23.3 eV per cell

Geometry as Quantum ESPRESSO input:
```
&SYSTEM
  ibrav = 0, nat = 5, ntyp = 4
/
ATOMIC_SPECIES
La 138.91 La.upf
Hf 178.49 Hf.upf
Mg 24.30 Mg.upf
Ge 72.64 Ge.upf
CELL_PARAMETERS angstrom
4.948 0.000 0.000
0.000 4.948 0.000
0.000 0.000 5.225
ATOMIC_POSITIONS crystal
La 0.000 0.000 0.000
Hf 0.500 0.500 0.000
Mg 0.500 0.500 0.500
Ge 0.000 0.500 0.500
Ge 0.500 0.000 0.500
```

Here is a geometry-optimized Rb3MgBi structure from Alexandria via LeMat-Bulk. Energies are from GGA-PBE. Values from VASP.

Calculated values
Calculated total energy: -17.4 eV per cell

Geometry as Quantum ESPRESSO input:
```
&SYSTEM
  ibrav = 0, nat = 10, ntyp = 3
/
ATOMIC_SPECIES
Rb 85.47 Rb.upf
Mg 24.30 Mg.upf
Bi 208.98 Bi.upf
CELL_PARAMETERS angstrom
-7.330 4.259 4.697
7.330 -4.259 4.697
7.330 4.259 -4.697
ATOMIC_POSITIONS crystal
Rb 0.237 0.016 0.253
Rb 0.237 0.484 0.720
Rb 0.500 0.902 0.097
Rb 0.763 0.516 0.280
Rb 0.763 0.984 0.747
Rb 0.805 0.402 0.903
Mg 0.126 0.037 0.590
Mg 0.447 0.537 0.410
Bi 0.057 0.237 0.320
Bi 0.917 0.737 0.680
```

Here is a geometry-optimized La3TlPb structure from Alexandria via LeMat-Bulk. Energies are from GGA-PBE. Values from VASP.

Calculated values
Calculated total energy: -20.5 eV per cell

Geometry as Quantum ESPRESSO input:
```
&SYSTEM
  ibrav = 0, nat = 5, ntyp = 3
/
ATOMIC_SPECIES
La 138.91 La.upf
Tl 204.38 Tl.upf
Pb 207.20 Pb.upf
CELL_PARAMETERS angstrom
5.996 0.000 0.000
0.000 5.996 0.000
0.000 0.000 5.996
ATOMIC_POSITIONS crystal
La 0.000 0.000 0.500
La 0.000 0.500 0.000
La 0.500 0.000 0.000
Tl 0.000 0.000 0.000
Pb 0.500 0.500 0.500
```

Here is a geometry-optimized Nd8C3I4O structure from Alexandria via LeMat-Bulk. Energies are from GGA-PBE. Values from VASP.

Calculated values
Formation energy from raw total energies: -22.6 kcal/mol of atoms

Geometry as Quantum ESPRESSO input:
```
&SYSTEM
  ibrav = 0, nat = 16, ntyp = 4
/
ATOMIC_SPECIES
Nd 144.24 Nd.upf
C 12.01 C.upf
I 126.90 I.upf
O 16.00 O.upf
CELL_PARAMETERS angstrom
6.708 -3.861 0.000
6.708 3.861 0.000
-4.473 0.000 7.735
ATOMIC_POSITIONS crystal
Nd 0.222 0.725 0.671
Nd 0.225 0.225 0.674
Nd 0.275 0.275 0.329
Nd 0.275 0.778 0.329
Nd 0.725 0.222 0.671
Nd 0.725 0.725 0.671
Nd 0.775 0.775 0.326
Nd 0.778 0.275 0.329
C 0.000 0.000 0.500
C 0.000 0.500 0.500
C 0.500 0.000 0.500
I 0.000 0.000 0.000
I 0.000 0.500 0.000
I 0.500 0.000 0.000
I 0.500 0.500 0.000
O 0.500 0.500 0.500
```

Here is a geometry-optimized SeS structure from Alexandria via LeMat-Bulk. Energies are from GGA-PBE. Values from VASP.

Calculated values
Formation energy from raw total energies: 17.6 kcal/mol of atoms

Geometry as Quantum ESPRESSO input:
```
&SYSTEM
  ibrav = 0, nat = 12, ntyp = 2
/
ATOMIC_SPECIES
Se 78.96 Se.upf
S 32.06 S.upf
CELL_PARAMETERS angstrom
7.401 0.000 0.000
0.000 7.401 0.000
0.000 0.000 7.401
ATOMIC_POSITIONS crystal
Se 0.000 0.250 0.500
Se 0.000 0.750 0.500
Se 0.250 0.500 0.000
Se 0.500 0.000 0.250
Se 0.500 0.000 0.750
Se 0.750 0.500 0.000
S 0.000 0.500 0.250
S 0.000 0.500 0.750
S 0.250 0.000 0.500
S 0.500 0.250 0.000
S 0.500 0.750 0.000
S 0.750 0.000 0.500
```

Here is a geometry-optimized Ca3HoAl8 structure from Alexandria via LeMat-Bulk. Energies are from GGA-PBE. Values from VASP.

Calculated values
Calculated total energy: -45.0 eV per cell

Geometry as Quantum ESPRESSO input:
```
&SYSTEM
  ibrav = 0, nat = 12, ntyp = 3
/
ATOMIC_SPECIES
Ca 40.08 Ca.upf
Ho 164.93 Ho.upf
Al 26.98 Al.upf
CELL_PARAMETERS angstrom
2.808 1.621 9.230
-2.808 1.621 9.230
0.000 -3.242 9.230
ATOMIC_POSITIONS crystal
Ca 0.000 0.000 0.000
Ca 0.125 0.125 0.125
Ca 0.500 0.500 0.500
Ho 0.625 0.625 0.625
Al 0.060 0.563 0.563
Al 0.063 0.063 0.565
Al 0.063 0.565 0.063
Al 0.312 0.312 0.312
Al 0.563 0.060 0.563
Al 0.563 0.563 0.060
Al 0.565 0.063 0.063
Al 0.813 0.813 0.813
```

Here is a geometry-optimized Ho3GaIr8 structure from Alexandria via LeMat-Bulk. Energies are from GGA-PBE. Values from VASP.

Calculated values
Calculated total energy: -94.7 eV per cell

Geometry as Quantum ESPRESSO input:
```
&SYSTEM
  ibrav = 0, nat = 12, ntyp = 3
/
ATOMIC_SPECIES
Ho 164.93 Ho.upf
Ga 69.72 Ga.upf
Ir 192.22 Ir.upf
CELL_PARAMETERS angstrom
2.663 1.537 8.679
-2.663 1.537 8.679
0.000 -3.075 8.679
ATOMIC_POSITIONS crystal
Ho 0.000 0.000 0.000
Ho 0.129 0.129 0.129
Ho 0.512 0.512 0.512
Ga 0.638 0.638 0.638
Ir 0.067 0.067 0.566
Ir 0.067 0.566 0.067
Ir 0.067 0.566 0.566
Ir 0.316 0.316 0.316
Ir 0.566 0.067 0.067
Ir 0.566 0.067 0.566
Ir 0.566 0.566 0.067
Ir 0.816 0.816 0.816
```

Here is a geometry-optimized Tb2PaN4 structure from Alexandria via LeMat-Bulk. Energies are from GGA-PBE. Values from VASP.

Calculated values
Formation energy from raw total energies: -34.2 kcal/mol of atoms

Geometry as Quantum ESPRESSO input:
```
&SYSTEM
  ibrav = 0, nat = 14, ntyp = 3
/
ATOMIC_SPECIES
Tb 158.93 Tb.upf
Pa 231.04 Pa.upf
N 14.01 N.upf
CELL_PARAMETERS angstrom
5.913 0.000 0.000
0.000 9.827 0.000
0.000 0.000 3.588
ATOMIC_POSITIONS crystal
Tb 0.061 0.175 0.000
Tb 0.439 0.675 0.000
Tb 0.561 0.325 0.000
Tb 0.939 0.825 0.000
Pa 0.000 0.500 0.500
Pa 0.500 0.000 0.500
N 0.155 0.702 0.500
N 0.238 0.459 0.000
N 0.262 0.959 0.000
N 0.345 0.202 0.500
N 0.655 0.798 0.500
N 0.738 0.041 0.000
N 0.762 0.541 0.000
N 0.845 0.298 0.500
```

Here is a geometry-optimized Ag2AsP structure from Alexandria via LeMat-Bulk. Energies are from GGA-PBE. Values from VASP.

Calculated values
Calculated total energy: -14.4 eV per cell

Geometry as Quantum ESPRESSO input:
```
&SYSTEM
  ibrav = 0, nat = 4, ntyp = 3
/
ATOMIC_SPECIES
Ag 107.87 Ag.upf
As 74.92 As.upf
P 30.97 P.upf
CELL_PARAMETERS angstrom
1.941 -2.007 0.000
1.941 2.007 0.000
0.000 0.000 9.285
ATOMIC_POSITIONS crystal
Ag 0.000 0.000 0.000
Ag 0.500 0.500 0.243
As 0.500 0.500 0.759
P 0.000 0.000 0.462
```

Here is a geometry-optimized Cs2YSb2S6 structure from Alexandria via LeMat-Bulk. Energies are from GGA-PBE. Values from VASP.

Calculated values
Formation energy from raw total energies: -20.0 kcal/mol of atoms

Geometry as Quantum ESPRESSO input:
```
&SYSTEM
  ibrav = 0, nat = 11, ntyp = 4
/
ATOMIC_SPECIES
Cs 132.91 Cs.upf
Y 88.91 Y.upf
Sb 121.76 Sb.upf
S 32.06 S.upf
CELL_PARAMETERS angstrom
6.288 -3.729 0.000
6.288 3.729 0.000
-3.987 0.000 7.905
ATOMIC_POSITIONS crystal
Cs 0.203 0.203 0.173
Cs 0.797 0.797 0.827
Y 0.000 0.000 0.500
Sb 0.441 0.441 0.794
Sb 0.559 0.559 0.206
S 0.197 0.717 0.238
S 0.236 0.236 0.584
S 0.283 0.803 0.762
S 0.717 0.197 0.238
S 0.764 0.764 0.416
S 0.803 0.283 0.762
```

Here is a geometry-optimized Pr3HoPt8 structure from Alexandria via LeMat-Bulk. Energies are from GGA-PBE. Values from VASP.

Calculated values
Calculated total energy: -80.0 eV per cell

Geometry as Quantum ESPRESSO input:
```
&SYSTEM
  ibrav = 0, nat = 12, ntyp = 3
/
ATOMIC_SPECIES
Pr 140.91 Pr.upf
Ho 164.93 Ho.upf
Pt 195.08 Pt.upf
CELL_PARAMETERS angstrom
2.755 1.590 9.003
-2.755 1.590 9.003
0.000 -3.181 9.003
ATOMIC_POSITIONS crystal
Pr 0.000 0.000 0.000
Pr 0.126 0.126 0.126
Pr 0.502 0.502 0.502
Ho 0.626 0.626 0.626
Pt 0.061 0.563 0.563
Pt 0.064 0.064 0.565
Pt 0.064 0.565 0.064
Pt 0.313 0.313 0.313
Pt 0.563 0.061 0.563
Pt 0.563 0.563 0.061
Pt 0.565 0.064 0.064
Pt 0.813 0.813 0.813
```

Here is a geometry-optimized Y3Tl3InSe8 structure from Alexandria via LeMat-Bulk. Energies are from GGA-PBE. Values from VASP.

Calculated values
Formation energy from raw total energies: -26.6 kcal/mol of atoms

Geometry as Quantum ESPRESSO input:
```
&SYSTEM
  ibrav = 0, nat = 15, ntyp = 4
/
ATOMIC_SPECIES
Y 88.91 Y.upf
Tl 204.38 Tl.upf
In 114.82 In.upf
Se 78.96 Se.upf
CELL_PARAMETERS angstrom
7.188 -4.150 0.000
7.188 4.150 0.000
-4.792 0.000 7.630
ATOMIC_POSITIONS crystal
Y 0.000 0.000 0.000
Y 0.000 0.500 0.000
Y 0.500 0.000 0.000
Tl 0.000 0.500 0.500
Tl 0.500 0.000 0.500
Tl 0.500 0.500 0.500
In 0.500 0.500 0.000
Se 0.237 0.237 0.209
Se 0.241 0.733 0.205
Se 0.267 0.759 0.795
Se 0.269 0.269 0.795
Se 0.731 0.731 0.205
Se 0.733 0.241 0.205
Se 0.759 0.267 0.795
Se 0.763 0.763 0.791
```

Record order is preserved below.
V: 25.58; 58.65; 43.11; 25.04; 33.78; 21.01; 17.76; 14.89; 18.09; 33.70; 19.72; 30.35 A^3/atom